No. 1
Here is a relaxed Ti2BiRh2 crystal from the Alexandria database. Energies are from GGA-PBE.

* N(E_F): 1.0218 states/eV per atom
* formation energy from the elements: -492 meV/atom
* SG: No. 127

```
data_Ti2BiRh2
_chemical_formula_sum 'Ti4 Bi2 Rh4'
_cell_length_a 7.563
_cell_length_b 7.563
_cell_length_c 3.054
_cell_angle_alpha 90.00
_cell_angle_beta 90.00
_cell_angle_gamma 90.00
_symmetry_space_group_name_H-M 'P 1'
_symmetry_Int_Tables_number 1
_symmetry_space_group_name_Hall 'P 1'
loop_
_atom_site_label
_atom_site_type_symbol
_atom_site_fract_x
_atom_site_fract_y
_atom_site_fract_z
Rh1 Rh 0.368 0.868 0.000
Rh2 Rh 0.632 0.132 0.000
Rh3 Rh 0.132 0.368 0.000
Rh4 Rh 0.868 0.632 0.000
Ti1 Ti 0.656 0.844 0.500
Ti2 Ti 0.844 0.344 0.500
Ti3 Ti 0.156 0.656 0.500
Ti4 Ti 0.344 0.156 0.500
Bi1 Bi 0.500 0.500 0.000
Bi2 Bi 0.000 0.000 0.000
```


No. 2
Here is a relaxed AlHg crystal from the Alexandria database. Energies are from GGA-PBE.

* N(E_F): 0.3903 states/eV per atom
* formation energy from the elements: 128 meV/atom
* SG: No. 194

```
data_AlHg
_chemical_formula_sum 'Al2 Hg2'
_cell_length_a 4.372
_cell_length_b 4.372
_cell_length_c 5.335
_cell_angle_alpha 90.00
_cell_angle_beta 90.00
_cell_angle_gamma 120.00
_symmetry_space_group_name_H-M 'P 1'
_symmetry_Int_Tables_number 1
_symmetry_space_group_name_Hall 'P 1'
loop_
_atom_site_label
_atom_site_type_symbol
_atom_site_fract_x
_atom_site_fract_y
_atom_site_fract_z
Hg1 Hg 0.333 0.667 0.250
Hg2 Hg 0.667 0.333 0.750
Al1 Al 0.000 0.000 0.000
Al2 Al 0.000 0.000 0.500
```


No. 3
Here is a relaxed Ac3ZnP2Pd9 crystal from the Alexandria database. Energies are from GGA-PBE.

* N(E_F): 0.3005 states/eV per atom
* formation energy from the elements: -731 meV/atom
* SG: No. 164

```
data_Ac3ZnP2Pd9
_chemical_formula_sum 'Ac3 Zn1 P2 Pd9'
_cell_length_a 6.316
_cell_length_b 6.316
_cell_length_c 9.238
_cell_angle_alpha 90.00
_cell_angle_beta 90.00
_cell_angle_gamma 120.00
_symmetry_space_group_name_H-M 'P 1'
_symmetry_Int_Tables_number 1
_symmetry_space_group_name_Hall 'P 1'
loop_
_atom_site_label
_atom_site_type_symbol
_atom_site_fract_x
_atom_site_fract_y
_atom_site_fract_z
Zn1 Zn 0.000 0.000 0.500
Ac1 Ac 0.000 0.000 0.000
Ac2 Ac 0.333 0.667 0.653
Ac3 Ac 0.667 0.333 0.347
Pd1 Pd 0.696 0.848 0.292
Pd2 Pd 0.152 0.848 0.292
Pd3 Pd 0.152 0.304 0.292
Pd4 Pd 0.000 0.500 0.000
Pd5 Pd 0.500 0.500 0.000
Pd6 Pd 0.848 0.696 0.708
Pd7 Pd 0.304 0.152 0.708
Pd8 Pd 0.848 0.152 0.708
Pd9 Pd 0.500 0.000 0.000
P1 P 0.333 0.667 0.166
P2 P 0.667 0.333 0.834
```


No. 4
Here is a relaxed LaTl crystal from the Alexandria database. Energies are from GGA-PBE.

* N(E_F): 0.8206 states/eV per atom
* formation energy from the elements: -178 meV/atom
* SG: No. 19

```
data_LaTl
_chemical_formula_sum 'La8 Tl8'
_cell_length_a 6.540
_cell_length_b 8.821
_cell_length_c 9.367
_cell_angle_alpha 90.00
_cell_angle_beta 90.00
_cell_angle_gamma 90.00
_symmetry_space_group_name_H-M 'P 1'
_symmetry_Int_Tables_number 1
_symmetry_space_group_name_Hall 'P 1'
loop_
_atom_site_label
_atom_site_type_symbol
_atom_site_fract_x
_atom_site_fract_y
_atom_site_fract_z
La1 La 0.140 0.483 0.252
La2 La 0.667 0.327 0.446
La3 La 0.833 0.673 0.946
La4 La 0.333 0.827 0.054
La5 La 0.860 0.983 0.248
La6 La 0.360 0.517 0.752
La7 La 0.167 0.173 0.554
La8 La 0.640 0.017 0.748
Tl1 Tl 0.148 0.866 0.742
Tl2 Tl 0.852 0.366 0.758
Tl3 Tl 0.787 0.696 0.571
Tl4 Tl 0.713 0.304 0.071
Tl5 Tl 0.352 0.134 0.242
Tl6 Tl 0.213 0.196 0.929
Tl7 Tl 0.648 0.634 0.258
Tl8 Tl 0.287 0.804 0.429
```


No. 5
Here is a relaxed Al3SbN crystal from the Alexandria database. Energies are from GGA-PBE.

* N(E_F): 0.8713 states/eV per atom
* SG: No. 221
* ΔE_f (raw): 12.3 kJ per mole of atoms

```
data_Al3SbN
_chemical_formula_sum 'Al3 Sb1 N1'
_cell_length_a 4.336
_cell_length_b 4.336
_cell_length_c 4.336
_cell_angle_alpha 90.00
_cell_angle_beta 90.00
_cell_angle_gamma 90.00
_symmetry_space_group_name_H-M 'P 1'
_symmetry_Int_Tables_number 1
_symmetry_space_group_name_Hall 'P 1'
loop_
_atom_site_label
_atom_site_type_symbol
_atom_site_fract_x
_atom_site_fract_y
_atom_site_fract_z
Al1 Al 0.000 0.500 0.000
Al2 Al 0.000 0.000 0.500
Al3 Al 0.500 0.000 0.000
Sb1 Sb 0.500 0.500 0.500
N1 N 0.000 0.000 0.000
```


No. 6
Here is a relaxed Fe4WSe crystal from the Alexandria database. Energies are from GGA-PBE.

* N(E_F): 0.8093 states/eV per atom
* SG: No. 216
* ΔE_f (raw): 36.6 kJ per mole of atoms

```
data_Fe4WSe
_chemical_formula_sum 'Fe4 W1 Se1'
_cell_length_a 4.812
_cell_length_b 4.812
_cell_length_c 4.812
_cell_angle_alpha 60.00
_cell_angle_beta 60.00
_cell_angle_gamma 60.00
_symmetry_space_group_name_H-M 'P 1'
_symmetry_Int_Tables_number 1
_symmetry_space_group_name_Hall 'P 1'
loop_
_atom_site_label
_atom_site_type_symbol
_atom_site_fract_x
_atom_site_fract_y
_atom_site_fract_z
Se1 Se 0.750 0.750 0.750
Fe1 Fe 0.878 0.374 0.374
Fe2 Fe 0.374 0.374 0.878
Fe3 Fe 0.374 0.878 0.374
Fe4 Fe 0.374 0.374 0.374
W1 W 0.000 0.000 0.000
```


No. 7
Here is a relaxed AcHoTeO2 crystal from the Alexandria database. Energies are from GGA-PBE.

* N(E_F): 0.0000 states/eV per atom
* SG: No. 11
* ΔE_f (raw): -283.6 kJ per mole of atoms

```
data_AcHoTeO2
_chemical_formula_sum 'Ac2 Ho2 Te2 O4'
_cell_length_a 4.248
_cell_length_b 7.139
_cell_length_c 8.108
_cell_angle_alpha 107.82
_cell_angle_beta 90.00
_cell_angle_gamma 90.00
_symmetry_space_group_name_H-M 'P 1'
_symmetry_Int_Tables_number 1
_symmetry_space_group_name_Hall 'P 1'
loop_
_atom_site_label
_atom_site_type_symbol
_atom_site_fract_x
_atom_site_fract_y
_atom_site_fract_z
Ho1 Ho 0.250 0.650 0.416
Ho2 Ho 0.750 0.350 0.584
Te1 Te 0.250 0.050 0.734
Te2 Te 0.750 0.950 0.266
O1 O 0.250 0.487 0.135
O2 O 0.250 0.487 0.609
O3 O 0.750 0.513 0.865
O4 O 0.750 0.513 0.391
Ac1 Ac 0.250 0.689 0.927
Ac2 Ac 0.750 0.311 0.073
```


No. 8
Here is a relaxed Er3UO7 crystal from the Alexandria database. Energies are from GGA-PBE.

* N(E_F): 0.0002 states/eV per atom
* SG: No. 63
* ΔE_f (raw): -338.0 kJ per mole of atoms

```
data_Er3UO7
_chemical_formula_sum 'Er6 U2 O14'
_cell_length_a 6.540
_cell_length_b 6.540
_cell_length_c 7.641
_cell_angle_alpha 90.00
_cell_angle_beta 90.00
_cell_angle_gamma 109.73
_symmetry_space_group_name_H-M 'P 1'
_symmetry_Int_Tables_number 1
_symmetry_space_group_name_Hall 'P 1'
loop_
_atom_site_label
_atom_site_type_symbol
_atom_site_fract_x
_atom_site_fract_y
_atom_site_fract_z
O1 O 0.367 0.633 0.750
O2 O 0.088 0.339 0.530
O3 O 0.366 0.634 0.250
O4 O 0.634 0.366 0.750
O5 O 0.087 0.339 0.969
O6 O 0.661 0.912 0.970
O7 O 0.633 0.367 0.250
O8 O 0.661 0.913 0.531
O9 O 0.913 0.661 0.469
O10 O 0.902 0.098 0.250
O11 O 0.912 0.661 0.030
O12 O 0.339 0.087 0.031
O13 O 0.098 0.902 0.750
O14 O 0.339 0.088 0.470
Er1 Er 0.500 0.500 0.000
Er2 Er 0.531 0.006 0.250
Er3 Er 0.994 0.469 0.250
Er4 Er 0.500 0.500 0.500
Er5 Er 0.469 0.994 0.750
Er6 Er 0.006 0.531 0.750
U1 U 0.000 0.000 0.000
U2 U 0.000 0.000 0.500
```


No. 9
Here is a relaxed CsMg2NiIr crystal from the Alexandria database. Energies are from GGA-PBE.

* N(E_F): 1.0080 states/eV per atom
* formation energy from the elements: 2202 meV/atom
* SG: No. 123

```
data_CsMg2NiIr
_chemical_formula_sum 'Cs1 Mg2 Ni1 Ir1'
_cell_length_a 5.485
_cell_length_b 4.583
_cell_length_c 5.485
_cell_angle_alpha 90.00
_cell_angle_beta 90.00
_cell_angle_gamma 90.00
_symmetry_space_group_name_H-M 'P 1'
_symmetry_Int_Tables_number 1
_symmetry_space_group_name_Hall 'P 1'
loop_
_atom_site_label
_atom_site_type_symbol
_atom_site_fract_x
_atom_site_fract_y
_atom_site_fract_z
Mg1 Mg 0.500 0.000 0.000
Mg2 Mg 0.000 0.000 0.500
Ir1 Ir 0.500 0.500 0.500
Ni1 Ni 0.000 0.500 0.000
Cs1 Cs 0.000 0.000 0.000
```


No. 10
Here is a relaxed PmTmAlPd crystal from the Alexandria database. Energies are from GGA-PBE.

* N(E_F): 0.9767 states/eV per atom
* formation energy from the elements: -592 meV/atom
* SG: No. 38

```
data_PmTmAlPd
_chemical_formula_sum 'Pm1 Tm1 Al1 Pd1'
_cell_length_a 3.807
_cell_length_b 4.499
_cell_length_c 5.956
_cell_angle_alpha 90.00
_cell_angle_beta 108.64
_cell_angle_gamma 90.00
_symmetry_space_group_name_H-M 'P 1'
_symmetry_Int_Tables_number 1
_symmetry_space_group_name_Hall 'P 1'
loop_
_atom_site_label
_atom_site_type_symbol
_atom_site_fract_x
_atom_site_fract_y
_atom_site_fract_z
Al1 Al 0.427 0.000 0.854
Tm1 Tm 0.860 0.500 0.721
Pm1 Pm 0.149 0.000 0.299
Pd1 Pd 0.563 0.500 0.126
```


No. 11
Here is a relaxed Cr3GaPb crystal from the Alexandria database. Energies are from GGA-PBE.

* N(E_F): 1.1194 states/eV per atom
* formation energy from the elements: 966 meV/atom
* SG: No. 221

```
data_Cr3GaPb
_chemical_formula_sum 'Cr3 Ga1 Pb1'
_cell_length_a 4.687
_cell_length_b 4.687
_cell_length_c 4.687
_cell_angle_alpha 90.00
_cell_angle_beta 90.00
_cell_angle_gamma 90.00
_symmetry_space_group_name_H-M 'P 1'
_symmetry_Int_Tables_number 1
_symmetry_space_group_name_Hall 'P 1'
loop_
_atom_site_label
_atom_site_type_symbol
_atom_site_fract_x
_atom_site_fract_y
_atom_site_fract_z
Cr1 Cr 0.500 0.000 0.000
Cr2 Cr 0.000 0.000 0.500
Cr3 Cr 0.000 0.500 0.000
Ga1 Ga 0.000 0.000 0.000
Pb1 Pb 0.500 0.500 0.500
```


no.,magnetization (μB/cell)
1,0.0
2,0.0
3,0.0
4,0.0
5,0.0
6,7.8
7,0.0
8,2.0
9,0.0
10,0.0
11,9.4